1.
A plane-wave DFT calculation with SCAN was carried out for a PBEsol-optimized structure of Ba2NiTe.

## Properties
Symmetry ... P4mm, No. 99
ΔE_f (raw) ... -0.646 eV per atom

Unit cell a=4.7358 b=4.7358 c=6.7218 alpha=90.00 beta=90.00 gamma=90.00
Site moments in Bohr magnetons follow the coordinates.
Positions (direct):
Te 0.5000 0.5000 0.8675  0.00
Ba 0.5000 0.5000 0.3693  -0.02
Ba 0.0000 0.0000 0.8990  -0.01
Ni 0.0000 0.0000 0.3642  0.14

***

2.
A plane-wave DFT calculation with SCAN was carried out for a PBEsol-optimized structure of BaNi2Te2.

## Properties
Symmetry ... I4/mmm, No. 139
ΔE_f (raw) ... -0.681 eV per atom

Unit cell a=4.2889 b=4.2889 c=6.8942 alpha=108.12 beta=108.12 gamma=90.00
Positions (direct):
Ni 0.2500 0.7500 0.5000
Te 0.3549 0.3549 0.7099
Ni 0.7500 0.2500 0.5000
Ba 0.0000 0.0000 0.0000
Te 0.6451 0.6451 0.2901

***

3.
A plane-wave DFT calculation with SCAN was carried out for a PBEsol-optimized structure of BaNiTe3.

## Properties
Symmetry ... Pm-3m, No. 221
ΔE_f (raw) ... -0.690 eV per atom

Unit cell a=5.1779 b=5.1779 c=5.1779 alpha=90.00 beta=90.00 gamma=90.00
Positions (direct):
Te 0.0000 0.5000 0.0000
Ba 0.5000 0.5000 0.5000
Ni 0.0000 0.0000 0.0000
Te 0.0000 0.0000 0.5000
Te 0.5000 0.0000 0.0000

***

4.
A plane-wave DFT calculation with SCAN was carried out for a PBEsol-optimized structure of Ba2NiTe.

## Properties
Symmetry ... P2/m, No. 10
ΔE_f (raw) ... -0.636 eV per atom

Unit cell a=4.0177 b=4.0178 c=7.8322 alpha=90.07 beta=90.00 gamma=90.00
Site moments in Bohr magnetons follow the coordinates.
Positions (direct):
Ba 0.0000 0.0010 0.2632  -0.09
Ba 0.0000 0.9990 0.7368  -0.09
Ni 0.5000 0.5000 0.5000  0.73
Te 0.5000 0.5000 0.0000  0.00

***

5.
A plane-wave DFT calculation with SCAN was carried out for a PBEsol-optimized structure of BaTi3Ni.

## Properties
Symmetry ... Pm-3m, No. 221
Calculated formation energy ... 2.17 eV/atom

Unit cell a=4.8451 b=4.8451 c=4.8451 alpha=90.00 beta=90.00 gamma=90.00
Site moments in Bohr magnetons follow the coordinates.
Positions (direct):
Ti 0.0000 0.5000 0.0000  0.50
Ti 0.5000 0.0000 0.0000  0.50
Ba 0.0000 0.0000 0.0000  0.05
Ti 0.0000 0.0000 0.5000  0.50
Ni 0.5000 0.5000 0.5000  1.27

***

6.
A plane-wave DFT calculation with SCAN was carried out for a PBEsol-optimized structure of BaTiNi3.

## Properties
Symmetry ... Pm-3m, No. 221
Calculated formation energy ... 1.97 eV/atom

Unit cell a=4.7550 b=4.7550 c=4.7550 alpha=90.00 beta=90.00 gamma=90.00
Site moments in Bohr magnetons follow the coordinates.
Positions (direct):
Ba 0.0000 0.0000 0.0000  0.06
Ti 0.5000 0.5000 0.5000  1.71
Ni 0.0000 0.5000 0.0000  0.21
Ni 0.0000 0.0000 0.5000  0.21
Ni 0.5000 0.0000 0.0000  0.21

***

7.
A plane-wave DFT calculation with SCAN was carried out for a PBEsol-optimized structure of Ba2TlNi2.

## Properties
Symmetry ... I4/mmm, No. 139
Calculated formation energy ... 0.11 eV/atom

Unit cell a=3.5126 b=3.5126 c=10.6425 alpha=99.50 beta=99.50 gamma=90.00
Site moments in Bohr magnetons follow the coordinates.
Positions (direct):
Ni 0.2500 0.7500 0.5000  0.74
Tl 0.0000 0.0000 0.0000  0.00
Ba 0.3713 0.3713 0.7426  -0.02
Ni 0.7500 0.2500 0.5000  0.74
Ba 0.6287 0.6287 0.2574  -0.02

***

8.
A plane-wave DFT calculation with SCAN was carried out for a PBEsol-optimized structure of BaTl2Ni.

## Properties
Symmetry ... C2/m, No. 12
Calculated formation energy ... 0.32 eV/atom

Unit cell a=3.9808 b=4.7320 c=6.7867 alpha=110.12 beta=106.72 gamma=90.92
Positions (direct):
Tl 0.5000 0.5000 0.5000
Ba 0.5000 0.0000 0.0000
Ni 0.0000 0.5000 0.0000
Tl 0.0000 0.0000 0.5000

***

9.
A plane-wave DFT calculation with SCAN was carried out for a PBEsol-optimized structure of BaNiW2.

## Properties
Symmetry ... Fm-3m, No. 225
Energy relative to the lowest polymorph listed for this composition ... 302 meV/atom
Calculated formation energy ... 1.89 eV/atom

Unit cell a=4.5849 b=4.5849 c=4.5849 alpha=60.00 beta=60.00 gamma=60.00
Positions (direct):
W 0.2500 0.2500 0.2500
Ba 0.0000 0.0000 0.0000
W 0.7500 0.7500 0.7500
Ni 0.5000 0.5000 0.5000

***

10.
A plane-wave DFT calculation with SCAN was carried out for a PBEsol-optimized structure of Ba4NiW.

## Properties
Symmetry ... F-43m, No. 216
Calculated formation energy ... 1.70 eV/atom

Unit cell a=6.6755 b=6.6755 c=6.6755 alpha=60.00 beta=60.00 gamma=60.00
Site moments in Bohr magnetons follow the coordinates.
Positions (direct):
Ba 0.3751 0.3751 0.8747  -0.06
Ba 0.8747 0.3751 0.3751  -0.06
Ni 0.7500 0.7500 0.7500  0.88
Ba 0.3751 0.8747 0.3751  -0.06
Ba 0.3751 0.3751 0.3751  -0.06
W 0.0000 0.0000 0.0000  2.95

***

11.
A plane-wave DFT calculation with SCAN was carried out for a PBEsol-optimized structure of BaNiW2.

## Properties
Symmetry ... P4/mmm, No. 123
Energy relative to the lowest polymorph listed for this composition ... 0 meV/atom
Calculated formation energy ... 1.59 eV/atom

Unit cell a=3.8077 b=3.8077 c=5.3482 alpha=90.00 beta=90.00 gamma=90.00
Site moments in Bohr magnetons follow the coordinates.
Positions (direct):
W 0.5000 0.0000 0.0000  0.30
Ni 0.0000 0.0000 0.5000  0.26
W 0.0000 0.5000 0.0000  0.30
Ba 0.5000 0.5000 0.5000  0.03

***

12.
A plane-wave DFT calculation with SCAN was carried out for a PBEsol-optimized structure of Ba2NiW.

## Properties
Symmetry ... Pmmm, No. 47
Calculated formation energy ... 1.60 eV/atom

Unit cell a=3.5512 b=4.8418 c=5.4660 alpha=90.00 beta=90.00 gamma=90.00
Positions (direct):
Ba 0.5000 0.0000 0.5000
Ni 0.5000 0.5000 0.0000
W 0.0000 0.5000 0.5000
Ba 0.0000 0.0000 0.0000